## Sm2Zn3Cd (GGA-PBE)

Data for Sm2Zn3Cd after structural relaxation.

Cell and atoms, written as POSCAR:
```
Sm2Zn3Cd
1.0
-1.857 2.323 8.043
1.857 -2.323 8.043
1.857 2.323 -8.043
Sm Zn Cd
2 3 1
Cartesian
0.000 0.000 0.000
0.000 2.323 4.358
1.857 0.000 2.865
1.857 0.000 5.366
0.000 0.000 6.941
0.000 0.000 9.613
```

Properties
energy above the lowest structure with this stoichiometry: 62 meV/atom
magnetization: 0.000 μB per atom
DOS(E_F): 1.148 states/eV per atom
energy: -2.63 eV/atom
crystal system: orthorhombic
space-group type: No. 44
calculated volume: 23.14 A^3/atom
energy of formation from the pure elements: -0.27 eV/atom



## Sm5Zn3Cd (GGA-PBE)

Data for Sm5Zn3Cd after structural relaxation.

Cell and atoms, written as POSCAR:
```
Sm5Zn3Cd
1.0
9.035 0.000 0.000
-4.518 7.825 0.000
0.000 0.000 6.708
Sm Zn Cd
10 6 2
Cartesian
-1.388 2.404 1.677
-3.130 5.421 5.031
2.775 0.000 1.677
1.388 2.404 5.031
0.000 5.216 0.000
0.000 5.216 3.354
4.518 2.608 0.000
4.518 2.608 3.354
6.260 0.000 5.031
3.130 5.421 1.677
-1.614 2.796 5.031
-2.903 5.029 1.677
3.228 0.000 5.031
1.614 2.796 1.677
5.807 0.000 1.677
2.903 5.029 5.031
0.000 0.000 0.000
0.000 0.000 3.354
```

Properties
magnetization: 0.000 μB per atom
DOS(E_F): 1.099 states/eV per atom
energy: -3.34 eV/atom
crystal system: hexagonal
space-group type: No. 193
calculated volume: 26.35 A^3/atom
energy of formation from the pure elements: -0.19 eV/atom



## SmZn2Cd5 (GGA-PBE)

Data for SmZn2Cd5 after structural relaxation.

Cell and atoms, written as POSCAR:
```
SmZn2Cd5
1.0
-2.039 4.108 5.237
2.039 -4.108 5.237
2.039 4.108 -5.237
Sm Zn Cd
1 2 5
Cartesian
0.000 0.000 0.000
2.039 0.000 2.429
0.000 4.108 2.808
2.039 2.501 -1.523
2.039 2.501 1.523
0.000 4.108 0.000
0.000 1.606 3.714
0.000 1.606 6.760
```

Properties
magnetization: 0.000 μB per atom
DOS(E_F): 0.252 states/eV per atom
energy: -1.63 eV/atom
crystal system: orthorhombic
space-group type: No. 71
calculated volume: 21.93 A^3/atom
energy of formation from the pure elements: -0.15 eV/atom



## SmZnCd11 (GGA-PBE)

Data for SmZnCd11 after structural relaxation.

Cell and atoms, written as POSCAR:
```
SmZnCd11
1.0
2.964 -6.987 0.000
2.964 6.987 0.000
-2.883 0.000 6.975
Sm Zn Cd
1 1 11
Cartesian
0.000 0.000 0.000
1.522 0.000 3.488
-1.442 0.000 3.488
1.482 3.493 0.000
0.061 2.416 2.465
0.119 1.472 5.460
0.061 -2.416 2.465
2.925 1.472 1.515
1.482 -3.493 0.000
0.119 -1.472 5.460
2.982 2.416 4.510
2.925 -1.472 1.515
2.982 -2.416 4.510
```

Properties
magnetization: 0.000 μB per atom
DOS(E_F): 0.118 states/eV per atom
energy: -1.34 eV/atom
crystal system: monoclinic
space-group type: No. 12
calculated volume: 22.22 A^3/atom
energy of formation from the pure elements: -0.10 eV/atom